[1]
# YAlCuTc GGA-PBE relaxed
# * electronic total energy: -5.752 eV per atom
data_YAlCuTc
_chemical_formula_sum 'Y4 Al4 Cu4 Tc4'
_cell_length_a 6.568
_cell_length_b 6.568
_cell_length_c 6.568
_cell_angle_alpha 90.00
_cell_angle_beta 90.00
_cell_angle_gamma 90.00
_space_group_name_H-M_alt 'F -4 3 m'
_space_group_IT_number 216
_space_group_name_Hall 'F -4 2 3'
loop_
_atom_site_label
_atom_site_fract_x
_atom_site_fract_y
_atom_site_fract_z
Y1 0.000 0.000 0.000
Al1 0.250 0.250 0.250
Cu1 0.000 0.000 0.500
Tc1 0.250 0.250 0.750


[2]
# ThZnPt GGA-PBE relaxed
# * DFT formation energy: -0.74 eV per atom
data_ThZnPt
_chemical_formula_sum 'Th4 Zn4 Pt4'
_cell_length_a 6.653
_cell_length_b 6.653
_cell_length_c 6.653
_cell_angle_alpha 90.00
_cell_angle_beta 90.00
_cell_angle_gamma 90.00
_space_group_name_H-M_alt 'F -4 3 m'
_space_group_IT_number 216
_space_group_name_Hall 'F -4 2 3'
loop_
_atom_site_label
_atom_site_fract_x
_atom_site_fract_y
_atom_site_fract_z
Th1 0.000 0.000 0.000
Zn1 0.000 0.000 0.500
Pt1 0.250 0.250 0.250


[3]
# Ni6BN2 GGA-PBE relaxed
# * electronic total energy: -6.083 eV per atom
data_Ni6BN2
_chemical_formula_sum 'Ni6 B1 N2'
_cell_length_a 5.3000
_cell_length_b 5.3000
_cell_length_c 3.3259
_cell_angle_alpha 90.00
_cell_angle_beta 90.00
_cell_angle_gamma 120.00
_space_group_name_H-M_alt 'P -6 2 m'
_space_group_IT_number 189
_space_group_name_Hall 'P -6 -2'
loop_
_atom_site_label
_atom_site_fract_x
_atom_site_fract_y
_atom_site_fract_z
Ni1 0.0000 0.2739 0.0000
Ni2 0.0000 0.6132 0.5000
B1 0.0000 0.0000 0.5000
N1 0.3333 0.6667 0.0000


[4]
# FeHgPbAu GGA-PBE relaxed
# * electronic total energy: -3.481 eV per atom
data_FeHgPbAu
_chemical_formula_sum 'Fe4 Hg4 Pb4 Au4'
_cell_length_a 6.915
_cell_length_b 6.915
_cell_length_c 6.915
_cell_angle_alpha 90.00
_cell_angle_beta 90.00
_cell_angle_gamma 90.00
_space_group_name_H-M_alt 'F -4 3 m'
_space_group_IT_number 216
_space_group_name_Hall 'F -4 2 3'
loop_
_atom_site_label
_atom_site_fract_x
_atom_site_fract_y
_atom_site_fract_z
Fe1 0.000 0.000 0.000
Hg1 0.250 0.250 0.250
Pb1 0.250 0.250 0.750
Au1 0.000 0.000 0.500


[5]
# NdRe GGA-PBE relaxed
# * DFT formation energy: 1.07 eV per atom
data_NdRe
_chemical_formula_sum 'Nd1 Re1'
_cell_length_a 3.1305
_cell_length_b 3.1305
_cell_length_c 5.0226
_cell_angle_alpha 90.00
_cell_angle_beta 90.00
_cell_angle_gamma 120.00
_space_group_name_H-M_alt 'P -6 m 2'
_space_group_IT_number 187
_space_group_name_Hall 'P -6 2'
loop_
_atom_site_label
_atom_site_fract_x
_atom_site_fract_y
_atom_site_fract_z
Nd1 0.0000 0.0000 0.0000
Re1 0.6667 0.3333 0.5000


[6]
# ZrNbH2Os GGA-PBE relaxed
# * electronic total energy: -7.702 eV per atom
data_ZrNbH2Os
_chemical_formula_sum 'Zr2 Nb2 H4 Os2'
_cell_length_a 3.113
_cell_length_b 3.113
_cell_length_c 12.337
_cell_angle_alpha 90.00
_cell_angle_beta 90.00
_cell_angle_gamma 90.00
_space_group_name_H-M_alt 'I 4 m m'
_space_group_IT_number 107
_space_group_name_Hall 'I 4 -2'
loop_
_atom_site_label
_atom_site_fract_x
_atom_site_fract_y
_atom_site_fract_z
Zr1 0.000 0.000 0.000
Nb1 0.000 0.000 0.722
H1 0.000 0.500 0.117
Os1 0.000 0.000 0.351


[7]
# PmLuCo GGA-PBE relaxed
# * DFT formation energy: 0.75 eV per atom
data_PmLuCo
_chemical_formula_sum 'Pm4 Lu4 Co4'
_cell_length_a 6.591
_cell_length_b 6.591
_cell_length_c 6.591
_cell_angle_alpha 90.00
_cell_angle_beta 90.00
_cell_angle_gamma 90.00
_space_group_name_H-M_alt 'F -4 3 m'
_space_group_IT_number 216
_space_group_name_Hall 'F -4 2 3'
loop_
_atom_site_label
_atom_site_fract_x
_atom_site_fract_y
_atom_site_fract_z
Pm1 0.000 0.000 0.000
Lu1 0.250 0.250 0.750
Co1 0.000 0.000 0.500


[8]
# Pm4InOs GGA-PBE relaxed
# * electronic total energy: -5.757 eV per atom
data_Pm4InOs
_chemical_formula_sum 'Pm16 In4 Os4'
_cell_length_a 8.905
_cell_length_b 13.559
_cell_length_c 6.251
_cell_angle_alpha 90.00
_cell_angle_beta 108.32
_cell_angle_gamma 90.00
_space_group_name_H-M_alt 'C 1 2/c 1'
_space_group_IT_number 15
_space_group_name_Hall '-C 2yc'
loop_
_atom_site_label
_atom_site_fract_x
_atom_site_fract_y
_atom_site_fract_z
Pm1 0.110 0.169 0.051
Pm2 0.221 0.425 0.385
In1 0.000 0.376 0.750
Os1 0.000 0.000 0.250


[9]
# KPaAsO GGA-PBE relaxed
# * electronic total energy: -5.578 eV per atom
data_KPaAsO
_chemical_formula_sum 'K2 Pa2 As2 O2'
_cell_length_a 5.749
_cell_length_b 5.749
_cell_length_c 5.315
_cell_angle_alpha 90.00
_cell_angle_beta 90.00
_cell_angle_gamma 90.00
_space_group_name_H-M_alt 'P 4/n m m'
_space_group_IT_number 129
loop_
_space_group_symop_operation_xyz
'x,y,z'
'-x,-y,-z'
'-y+1/2,x,z'
'y+1/2,-x,-z'
'-x+1/2,-y+1/2,z'
'x+1/2,y+1/2,-z'
'y,-x+1/2,z'
'-y,x+1/2,-z'
'x+1/2,-y,-z'
'-x+1/2,y,z'
'-y,-x,-z'
'y,x,z'
'-x,y+1/2,-z'
'x,-y+1/2,z'
'y+1/2,x+1/2,-z'
'-y+1/2,-x+1/2,z'
loop_
_atom_site_label
_atom_site_fract_x
_atom_site_fract_y
_atom_site_fract_z
K1 0.250 0.250 0.001
Pa1 0.250 0.750 0.500
As1 0.250 0.250 0.501
O1 0.250 0.750 0.000


[10]
# PrSm2Ga2Cu4 GGA-PBE relaxed
# * electronic total energy: -4.253 eV per atom
data_PrSm2Ga2Cu4
_chemical_formula_sum 'Pr2 Sm4 Ga4 Cu8'
_cell_length_a 10.279
_cell_length_b 4.225
_cell_length_c 8.383
_cell_angle_alpha 90.00
_cell_angle_beta 98.95
_cell_angle_gamma 90.00
_space_group_name_H-M_alt 'C 1 2/m 1'
_space_group_IT_number 12
_space_group_name_Hall '-C 2y'
loop_
_atom_site_label
_atom_site_fract_x
_atom_site_fract_y
_atom_site_fract_z
Pr1 0.000 0.000 0.000
Sm1 0.125 0.500 0.378
Ga1 0.182 0.500 0.770
Cu1 0.081 0.000 0.635
Cu2 0.228 0.500 0.076


[11]
# ErNbTl GGA-PBE relaxed
# * electronic total energy: -4.725 eV per atom
data_ErNbTl
_chemical_formula_sum 'Er4 Nb4 Tl4'
_cell_length_a 6.995
_cell_length_b 6.995
_cell_length_c 6.995
_cell_angle_alpha 90.00
_cell_angle_beta 90.00
_cell_angle_gamma 90.00
_space_group_name_H-M_alt 'F -4 3 m'
_space_group_IT_number 216
_space_group_name_Hall 'F -4 2 3'
loop_
_atom_site_label
_atom_site_fract_x
_atom_site_fract_y
_atom_site_fract_z
Er1 0.000 0.000 0.000
Nb1 0.250 0.250 0.750
Tl1 0.250 0.250 0.250


[12]
# Y2LuIn3Pt2 GGA-PBE relaxed
# * electronic total energy: -5.608 eV per atom
data_Y2LuIn3Pt2
_chemical_formula_sum 'Y4 Lu2 In6 Pt4'
_cell_length_a 3.614
_cell_length_b 13.315
_cell_length_c 7.684
_cell_angle_alpha 90.00
_cell_angle_beta 90.00
_cell_angle_gamma 90.00
_space_group_name_H-M_alt 'A m m 2'
_space_group_IT_number 38
_space_group_name_Hall 'A 2 -2'
loop_
_atom_site_label
_atom_site_fract_x
_atom_site_fract_y
_atom_site_fract_z
Y1 0.000 0.210 0.000
Lu1 0.000 0.000 0.632
In1 0.500 0.000 0.977
In2 0.500 0.115 0.327
Pt1 0.500 0.162 0.708


[13]
# TmNbBi GGA-PBE relaxed
# * electronic total energy: -5.878 eV per atom
data_TmNbBi
_chemical_formula_sum 'Tm4 Nb4 Bi4'
_cell_length_a 6.875
_cell_length_b 6.875
_cell_length_c 6.875
_cell_angle_alpha 90.00
_cell_angle_beta 90.00
_cell_angle_gamma 90.00
_space_group_name_H-M_alt 'F -4 3 m'
_space_group_IT_number 216
_space_group_name_Hall 'F -4 2 3'
loop_
_atom_site_label
_atom_site_fract_x
_atom_site_fract_y
_atom_site_fract_z
Tm1 0.000 0.000 0.000
Nb1 0.000 0.000 0.500
Bi1 0.250 0.250 0.750


[14]
# GaCuAs2 GGA-PBE relaxed
# * electronic total energy: -3.693 eV per atom
data_GaCuAs2
_chemical_formula_sum 'Ga4 Cu4 As8'
_cell_length_a 6.540
_cell_length_b 6.540
_cell_length_c 6.540
_cell_angle_alpha 90.00
_cell_angle_beta 90.00
_cell_angle_gamma 90.00
_space_group_name_H-M_alt 'F -4 3 m'
_space_group_IT_number 216
_space_group_name_Hall 'F -4 2 3'
loop_
_atom_site_label
_atom_site_fract_x
_atom_site_fract_y
_atom_site_fract_z
Ga1 0.000 0.000 0.000
Cu1 0.250 0.250 0.250
As1 0.000 0.000 0.500
As2 0.250 0.250 0.750


[15]
# CsLuGaTe3 GGA-PBE relaxed
# * electronic total energy: -3.907 eV per atom
data_CsLuGaTe3
_chemical_formula_sum 'Cs4 Lu4 Ga4 Te12'
_cell_length_a 4.753
_cell_length_b 16.644
_cell_length_c 11.596
_cell_angle_alpha 90.00
_cell_angle_beta 90.00
_cell_angle_gamma 90.00
_space_group_name_H-M_alt 'C m c m'
_space_group_IT_number 63
_space_group_name_Hall '-C 2c 2'
loop_
_atom_site_label
_atom_site_fract_x
_atom_site_fract_y
_atom_site_fract_z
Cs1 0.000 0.250 0.250
Lu1 0.000 0.000 0.000
Ga1 0.000 0.474 0.750
Te1 0.000 0.058 0.750
Te2 0.000 0.383 0.550


[16]
# NdGeB4 GGA-PBE relaxed
# * electronic total energy: -5.857 eV per atom
data_NdGeB4
_chemical_formula_sum 'Nd1 Ge1 B4'
_cell_length_a 3.1765
_cell_length_b 3.1765
_cell_length_c 7.9438
_cell_angle_alpha 90.00
_cell_angle_beta 90.00
_cell_angle_gamma 120.00
_space_group_name_H-M_alt 'P 6/m m m'
_space_group_IT_number 191
_space_group_name_Hall '-P 6 2'
loop_
_atom_site_label
_atom_site_fract_x
_atom_site_fract_y
_atom_site_fract_z
Nd1 0.0000 0.0000 0.0000
Ge1 0.0000 0.0000 0.5000
B1 0.3333 0.6667 0.2700


[17]
# DyHgNO GGA-PBE relaxed
# * electronic total energy: -5.569 eV per atom
data_DyHgNO
_chemical_formula_sum 'Dy4 Hg4 N4 O4'
_cell_length_a 6.423
_cell_length_b 7.591
_cell_length_c 5.767
_cell_angle_alpha 90.00
_cell_angle_beta 90.00
_cell_angle_gamma 90.00
_space_group_name_H-M_alt 'P c a 21'
_space_group_IT_number 29
_space_group_name_Hall 'P 2c -2ac'
loop_
_atom_site_label
_atom_site_fract_x
_atom_site_fract_y
_atom_site_fract_z
Dy1 0.069 0.140 0.000
Hg1 0.062 0.654 0.011
N1 0.100 0.104 0.613
O1 0.084 0.614 0.592


[18]
# RbTmGaTe3 GGA-PBE relaxed
# * electronic total energy: -3.920 eV per atom
data_RbTmGaTe3
_chemical_formula_sum 'Rb4 Tm4 Ga4 Te12'
_cell_length_a 16.376
_cell_length_b 4.486
_cell_length_c 12.280
_cell_angle_alpha 90.00
_cell_angle_beta 90.00
_cell_angle_gamma 90.00
_space_group_name_H-M_alt 'P n m a'
_space_group_IT_number 62
_space_group_name_Hall '-P 2ac 2n'
loop_
_atom_site_label
_atom_site_fract_x
_atom_site_fract_y
_atom_site_fract_z
Rb1 0.228 0.250 0.046
Tm1 0.021 0.250 0.359
Ga1 0.024 0.750 0.099
Te1 0.075 0.750 0.866
Te2 0.098 0.250 0.580
Te3 0.133 0.750 0.269


[19]
# Y3Mg3AlGaCu GGA-PBE relaxed
# * electronic total energy: -4.217 eV per atom
data_Y3Mg3AlGaCu
_chemical_formula_sum 'Y3 Mg3 Al1 Ga1 Cu1'
_cell_length_a 7.3739
_cell_length_b 7.3739
_cell_length_c 4.2915
_cell_angle_alpha 90.00
_cell_angle_beta 90.00
_cell_angle_gamma 120.00
_space_group_name_H-M_alt 'P -6'
_space_group_IT_number 174
_space_group_name_Hall 'P -6'
loop_
_atom_site_label
_atom_site_fract_x
_atom_site_fract_y
_atom_site_fract_z
Y1 0.0052 0.5900 0.0000
Mg1 0.0001 0.2407 0.5000
Al1 0.6667 0.3333 0.5000
Ga1 0.3333 0.6667 0.5000
Cu1 0.0000 0.0000 0.0000


[20]
# SnPd4C2S GGA-PBE relaxed
# * electronic total energy: -5.331 eV per atom
data_SnPd4C2S
_chemical_formula_sum 'Sn1 Pd4 C2 S1'
_cell_length_a 3.3110
_cell_length_b 3.3110
_cell_length_c 12.4694
_cell_angle_alpha 90.00
_cell_angle_beta 90.00
_cell_angle_gamma 120.00
_space_group_name_H-M_alt 'P -6 m 2'
_space_group_IT_number 187
_space_group_name_Hall 'P -6 2'
loop_
_atom_site_label
_atom_site_fract_x
_atom_site_fract_y
_atom_site_fract_z
Sn1 0.0000 0.0000 0.0000
Pd1 0.0000 0.0000 0.3582
Pd2 0.6667 0.3333 0.1845
C1 0.3333 0.6667 0.2715
S1 0.6667 0.3333 0.5000


[21]
# AcAl4Fe GGA-PBE relaxed
# * electronic total energy: -4.940 eV per atom
data_AcAl4Fe
_chemical_formula_sum 'Ac2 Al8 Fe2'
_cell_length_a 7.790
_cell_length_b 4.085
_cell_length_c 7.313
_cell_angle_alpha 90.00
_cell_angle_beta 90.00
_cell_angle_gamma 90.00
_space_group_name_H-M_alt 'P m m a'
_space_group_IT_number 51
_space_group_name_Hall '-P 2a 2a'
loop_
_atom_site_label
_atom_site_fract_x
_atom_site_fract_y
_atom_site_fract_z
Ac1 0.250 0.000 0.110
Al1 0.000 0.000 0.500
Al2 0.075 0.500 0.774
Al3 0.250 0.500 0.457
Fe1 0.250 0.000 0.676


[22]
# Si2TcAs GGA-PBE relaxed
# * electronic total energy: -6.142 eV per atom
data_Si2TcAs
_chemical_formula_sum 'Si8 Tc4 As4'
_cell_length_a 6.168
_cell_length_b 6.168
_cell_length_c 6.168
_cell_angle_alpha 90.00
_cell_angle_beta 90.00
_cell_angle_gamma 90.00
_space_group_name_H-M_alt 'F -4 3 m'
_space_group_IT_number 216
_space_group_name_Hall 'F -4 2 3'
loop_
_atom_site_label
_atom_site_fract_x
_atom_site_fract_y
_atom_site_fract_z
Si1 0.000 0.000 0.000
Si2 0.250 0.250 0.250
Tc1 0.000 0.000 0.500
As1 0.250 0.250 0.750


[23]
# HfCuGeOs GGA-PBE relaxed
# * electronic total energy: -7.293 eV per atom
data_HfCuGeOs
_chemical_formula_sum 'Hf4 Cu4 Ge4 Os4'
_cell_length_a 6.329
_cell_length_b 6.329
_cell_length_c 6.329
_cell_angle_alpha 90.00
_cell_angle_beta 90.00
_cell_angle_gamma 90.00
_space_group_name_H-M_alt 'F -4 3 m'
_space_group_IT_number 216
_space_group_name_Hall 'F -4 2 3'
loop_
_atom_site_label
_atom_site_fract_x
_atom_site_fract_y
_atom_site_fract_z
Hf1 0.000 0.000 0.000
Cu1 0.000 0.000 0.500
Ge1 0.250 0.250 0.250
Os1 0.250 0.250 0.750


[24]
# ZnBiAs2 GGA-PBE relaxed
# * electronic total energy: -3.310 eV per atom
data_ZnBiAs2
_chemical_formula_sum 'Zn4 Bi4 As8'
_cell_length_a 7.044
_cell_length_b 7.044
_cell_length_c 7.044
_cell_angle_alpha 90.00
_cell_angle_beta 90.00
_cell_angle_gamma 90.00
_space_group_name_H-M_alt 'F -4 3 m'
_space_group_IT_number 216
_space_group_name_Hall 'F -4 2 3'
loop_
_atom_site_label
_atom_site_fract_x
_atom_site_fract_y
_atom_site_fract_z
Zn1 0.000 0.000 0.000
Bi1 0.250 0.250 0.750
As1 0.000 0.000 0.500
As2 0.250 0.250 0.250


[25]
# SmY2In3Ni3 GGA-PBE relaxed
# * electronic total energy: -5.234 eV per atom
data_SmY2In3Ni3
_chemical_formula_sum 'Sm2 Y4 In6 Ni6'
_cell_length_a 3.812
_cell_length_b 12.969
_cell_length_c 7.522
_cell_angle_alpha 90.00
_cell_angle_beta 90.00
_cell_angle_gamma 90.00
_space_group_name_H-M_alt 'A m m 2'
_space_group_IT_number 38
_space_group_name_Hall 'A 2 -2'
loop_
_atom_site_label
_atom_site_fract_x
_atom_site_fract_y
_atom_site_fract_z
Sm1 0.000 0.000 0.000
Y1 0.000 0.205 0.617
In1 0.500 0.000 0.664
In2 0.500 0.128 0.286
Ni1 0.000 0.000 0.412
Ni2 0.500 0.167 0.912


| no. | ρ (Mg/m³) |
| --- | --- |
| 1 | 6.5 |
| 2 | 11.1 |
| 3 | 8.0 |
| 4 | 13.3 |
| 5 | 12.9 |
| 6 | 10.5 |
| 7 | 8.8 |
| 8 | 8.2 |
| 9 | 6.8 |
| 10 | 7.7 |
| 11 | 9.0 |
| 12 | 9.8 |
| 13 | 9.6 |
| 14 | 6.7 |
| 15 | 5.5 |
| 16 | 6.2 |
| 17 | 9.3 |
| 18 | 5.2 |
| 19 | 4.1 |
| 20 | 8.4 |
| 21 | 5.6 |
| 22 | 6.5 |
| 23 | 13.2 |
| 24 | 8.1 |
| 25 | 7.6 |